(1)
Here is crystalline SrTb2Te4 at its relaxed geometry from the Alexandria database. Energies are from GGA-PBE.

Lattice parameters (Å, degrees): 13.7404 4.4373 16.1110 90.00 90.00 90.00
Sites, in units of the cell vectors:
Sr (0.2410, 0.2500, 0.1706)
Sr (0.2590, 0.7500, 0.6706)
Sr (0.7410, 0.2500, 0.3294)
Sr (0.7590, 0.7500, 0.8294)
Tb (0.0566, 0.2500, 0.3880)
Tb (0.0872, 0.2500, 0.9066)
Tb (0.4128, 0.7500, 0.4066)
Tb (0.4434, 0.7500, 0.8880)
Tb (0.5566, 0.2500, 0.1120)
Tb (0.5872, 0.2500, 0.5934)
Tb (0.9128, 0.7500, 0.0934)
Tb (0.9434, 0.7500, 0.6120)
Te (0.0337, 0.7500, 0.7853)
Te (0.0954, 0.2500, 0.5763)
Te (0.1291, 0.7500, 0.0369)
Te (0.2024, 0.7500, 0.3299)
Te (0.2976, 0.2500, 0.8299)
Te (0.3709, 0.2500, 0.5369)
Te (0.4046, 0.7500, 0.0763)
Te (0.4663, 0.2500, 0.2853)
Te (0.5337, 0.7500, 0.7147)
Te (0.5954, 0.2500, 0.9237)
Te (0.6291, 0.7500, 0.4631)
Te (0.7024, 0.7500, 0.1701)
Te (0.7976, 0.2500, 0.6701)
Te (0.8709, 0.2500, 0.9631)
Te (0.9046, 0.7500, 0.4237)
Te (0.9663, 0.2500, 0.2147)

- Space group: Pnma (62)
- M_tot: 0.00 Bohr magnetons per cell
- Raw formation energy: -1.504 eV per atom
- E above lowest polymorph: 0.000 eV/atom

=====

(2)
Here is crystalline SrTbTe2 at its relaxed geometry from the Alexandria database. Energies are from GGA-PBE.

Lattice parameters (Å, degrees): 9.8267 9.8267 9.8267 28.09 28.09 28.09
Sites, in units of the cell vectors:
Sr (0.0000, 0.0000, 0.0000)
Tb (0.5000, 0.5000, 0.5000)
Te (0.3989, 0.3989, 0.3989)
Te (0.6011, 0.6011, 0.6011)

- Space group: R-3m (166)
- M_tot: 0.36 Bohr magnetons per cell
- Raw formation energy: -0.847 eV per atom
- E above lowest polymorph: 0.656 eV/atom